The following is a DFT calculation (PBE) of a relaxed structure of HgC3Se.

The value obtained for the electronic total energy is -16.8 eV for the cell shown. Its energy above the lowest structure with this stoichiometry is 0.000 eV per atom. The formation energy from raw total energies comes out at 2.94 eV/atom.

The structure belongs to space group Pm-3m (No. 221); the cell edges are 4.037, 4.037 and 4.037 Å and the angles 90.00°, 90.00° and 90.00°. Symmetry generates all atoms from Hg at (0.000, 0.000, 0.000), C at (0.000, 0.500, 0.500) and Se at (0.500, 0.500, 0.500).